[1]
DFT (GGA-PBE) results for crystalline In2Ga4Pb at its relaxed geometry.

The structure in CIF format:
```
data_In2Ga4Pb
_cell_length_a 17.0518
_cell_length_b 6.2271
_cell_length_c 6.1778
_cell_angle_alpha 90.00
_cell_angle_beta 93.70
_cell_angle_gamma 90.00
_symmetry_space_group_name_H-M 'C 1 2/c 1'
_symmetry_Int_Tables_number 15
loop_
_symmetry_equiv_pos_as_xyz
'x,y,z'
'-x,-y,-z'
'-x,y,-z+1/2'
'x,-y,z+1/2'
'x+1/2,y+1/2,z'
'-x+1/2,-y+1/2,-z'
'-x+1/2,y+1/2,-z+1/2'
'x+1/2,-y+1/2,z+1/2'
loop_
_atom_site_label
_atom_site_type_symbol
_atom_site_fract_x
_atom_site_fract_y
_atom_site_fract_z
In1 In 0.1913 0.0958 0.1780
Ga1 Ga 0.0761 0.2268 0.7856
Ga2 Ga 0.1606 0.4492 0.5069
Pb1 Pb 0.0000 0.2742 0.2500
```


[2]
# InGaPb (GGA-PBE, optimized geometry)
# Distance to the lowest polymorph of the same formula in meV per atom: 23
data_InGaPb
_cell_length_a 3.5149
_cell_length_b 3.5149
_cell_length_c 12.7320
_cell_angle_alpha 90.00
_cell_angle_beta 90.00
_cell_angle_gamma 90.00
_symmetry_space_group_name_H-M 'I 4 m m'
_symmetry_Int_Tables_number 107
_symmetry_space_group_name_Hall 'I 4 -2'
loop_
_atom_site_label
_atom_site_type_symbol
_atom_site_fract_x
_atom_site_fract_y
_atom_site_fract_z
In1 In 0.0000 0.0000 0.0000
Ga1 Ga 0.0000 0.0000 0.3549
Pb1 Pb 0.0000 0.0000 0.6899


[3]
# In4GaPb2 (GGA-PBE, optimized geometry)
# Distance to the lowest polymorph of the same formula in meV per atom: 191
data_In4GaPb2
_cell_length_a 5.4385
_cell_length_b 5.4385
_cell_length_c 15.4429
_cell_angle_alpha 90.00
_cell_angle_beta 90.00
_cell_angle_gamma 90.00
_symmetry_space_group_name_H-M 'I 4/m m m'
_symmetry_Int_Tables_number 139
_symmetry_space_group_name_Hall '-I 4 2'
loop_
_atom_site_label
_atom_site_type_symbol
_atom_site_fract_x
_atom_site_fract_y
_atom_site_fract_z
In1 In 0.0000 0.0000 0.1800
In2 In 0.0000 0.5000 0.0000
Ga1 Ga 0.0000 0.0000 0.0000
Pb1 Pb 0.0000 0.0000 0.3784


[4]
# InGa3Pb (GGA-PBE, optimized geometry)
# Distance to the lowest polymorph of the same formula in meV per atom: 39
data_InGa3Pb
_cell_length_a 5.4650
_cell_length_b 16.7569
_cell_length_c 5.3176
_cell_angle_alpha 90.00
_cell_angle_beta 90.00
_cell_angle_gamma 90.00
_symmetry_space_group_name_H-M 'C m c m'
_symmetry_Int_Tables_number 63
_symmetry_space_group_name_Hall '-C 2c 2'
loop_
_atom_site_label
_atom_site_type_symbol
_atom_site_fract_x
_atom_site_fract_y
_atom_site_fract_z
In1 In 0.0000 0.0671 0.2500
Ga1 Ga 0.0000 0.5000 0.0000
Ga2 Ga 0.2479 0.1341 0.7500
Pb1 Pb 0.0000 0.3034 0.7500


[5]
DFT (GGA-PBE) results for crystalline In6GaPb8 at its relaxed geometry.

The structure in CIF format:
```
data_In6GaPb8
_cell_length_a 8.8078
_cell_length_b 8.8078
_cell_length_c 20.1046
_cell_angle_alpha 90.00
_cell_angle_beta 90.00
_cell_angle_gamma 120.00
_symmetry_space_group_name_H-M 'R -3'
_symmetry_Int_Tables_number 148
_symmetry_space_group_name_Hall '-R 3'
loop_
_atom_site_label
_atom_site_type_symbol
_atom_site_fract_x
_atom_site_fract_y
_atom_site_fract_z
In1 In 0.0272 0.7520 0.1996
Ga1 Ga 0.0000 0.0000 0.5000
Pb1 Pb 0.0000 0.0000 0.0842
Pb2 Pb 0.0412 0.2451 0.6371
```


[6]
DFT (GGA-PBE) results for crystalline In3Ga3Pb2 at its relaxed geometry.

The structure in CIF format:
```
data_In3Ga3Pb2
_cell_length_a 3.3796
_cell_length_b 16.0044
_cell_length_c 15.5245
_cell_angle_alpha 90.00
_cell_angle_beta 90.00
_cell_angle_gamma 90.00
_symmetry_space_group_name_H-M 'C m c m'
_symmetry_Int_Tables_number 63
_symmetry_space_group_name_Hall '-C 2c 2'
loop_
_atom_site_label
_atom_site_type_symbol
_atom_site_fract_x
_atom_site_fract_y
_atom_site_fract_z
In1 In 0.0000 0.0218 0.2500
In2 In 0.0000 0.1212 0.5597
Ga1 Ga 0.0000 0.1593 0.7500
Ga2 Ga 0.0000 0.4616 0.5862
Pb1 Pb 0.0000 0.2074 0.1371
```


[7]
DFT (GGA-PBE) results for crystalline InGa7Pb2 at its relaxed geometry.

The structure in CIF format:
```
data_InGa7Pb2
_cell_length_a 4.4706
_cell_length_b 4.4706
_cell_length_c 11.4019
_cell_angle_alpha 90.00
_cell_angle_beta 90.00
_cell_angle_gamma 90.00
_symmetry_space_group_name_H-M 'P -4 m 2'
_symmetry_Int_Tables_number 115
loop_
_symmetry_equiv_pos_as_xyz
'x,y,z'
'y,-x,-z'
'-x,-y,z'
'-y,x,-z'
'-x,y,z'
'-y,-x,-z'
'x,-y,z'
'y,x,-z'
loop_
_atom_site_label
_atom_site_type_symbol
_atom_site_fract_x
_atom_site_fract_y
_atom_site_fract_z
In1 In 0.0000 0.0000 0.0000
Ga1 Ga 0.0000 0.0000 0.5000
Ga2 Ga 0.0000 0.5000 0.1483
Ga3 Ga 0.0000 0.5000 0.3671
Ga4 Ga 0.5000 0.5000 0.0000
Ga5 Ga 0.5000 0.5000 0.5000
Pb1 Pb 0.0000 0.5000 0.7426
```


[8]
# InGaPb (GGA-PBE, optimized geometry)
# Distance to the lowest polymorph of the same formula in meV per atom: 26
data_InGaPb
_cell_length_a 5.6206
_cell_length_b 5.7189
_cell_length_c 6.2565
_cell_angle_alpha 102.34
_cell_angle_beta 102.30
_cell_angle_gamma 119.41
_symmetry_space_group_name_H-M 'P 1'
_symmetry_Int_Tables_number 1
loop_
_symmetry_equiv_pos_as_xyz
'x,y,z'
loop_
_atom_site_label
_atom_site_type_symbol
_atom_site_fract_x
_atom_site_fract_y
_atom_site_fract_z
In1 In 0.0000 0.0000 0.0000
In2 In 0.3880 0.7331 0.0801
Ga1 Ga 0.4147 0.8387 0.5748
Ga2 Ga 0.7106 0.3607 0.9342
Pb1 Pb 0.0989 0.1941 0.5607
Pb2 Pb 0.7095 0.4720 0.4320


[9]
DFT (GGA-PBE) results for crystalline In6GaPb2 at its relaxed geometry.

The structure in CIF format:
```
data_In6GaPb2
_cell_length_a 12.9136
_cell_length_b 11.1712
_cell_length_c 8.6698
_cell_angle_alpha 90.00
_cell_angle_beta 127.56
_cell_angle_gamma 90.00
_symmetry_space_group_name_H-M 'C 1 2/c 1'
_symmetry_Int_Tables_number 15
loop_
_symmetry_equiv_pos_as_xyz
'x,y,z'
'-x,-y,-z'
'-x,y,-z+1/2'
'x,-y,z+1/2'
'x+1/2,y+1/2,z'
'-x+1/2,-y+1/2,-z'
'-x+1/2,y+1/2,-z+1/2'
'x+1/2,-y+1/2,z+1/2'
loop_
_atom_site_label
_atom_site_type_symbol
_atom_site_fract_x
_atom_site_fract_y
_atom_site_fract_z
In1 In 0.0345 0.1287 0.4560
In2 In 0.1078 0.3990 0.1817
In3 In 0.2170 0.3546 0.6207
Ga1 Ga 0.0000 0.3680 0.7500
Pb1 Pb 0.1734 0.1174 0.9220
```


[10]
DFT (GGA-PBE) results for crystalline In3GaPb6 at its relaxed geometry.

The structure in CIF format:
```
data_In3GaPb6
_cell_length_a 10.8870
_cell_length_b 4.7908
_cell_length_c 11.2876
_cell_angle_alpha 90.00
_cell_angle_beta 93.34
_cell_angle_gamma 90.00
_symmetry_space_group_name_H-M 'P 1 21/m 1'
_symmetry_Int_Tables_number 11
loop_
_symmetry_equiv_pos_as_xyz
'x,y,z'
'-x,-y,-z'
'-x,y+1/2,-z'
'x,-y+1/2,z'
loop_
_atom_site_label
_atom_site_type_symbol
_atom_site_fract_x
_atom_site_fract_y
_atom_site_fract_z
In1 In 0.0547 0.2500 0.4020
In2 In 0.1532 0.7500 0.2063
In3 In 0.2482 0.2500 0.0052
Ga1 Ga 0.4527 0.2500 0.5956
Pb1 Pb 0.0477 0.7500 0.8994
Pb2 Pb 0.1482 0.2500 0.6956
Pb3 Pb 0.2638 0.7500 0.5035
Pb4 Pb 0.3496 0.7500 0.8007
Pb5 Pb 0.3627 0.2500 0.3122
Pb6 Pb 0.4475 0.7500 0.1049
```


Number 1: calculated volume 655 Å³/cell, calculated total energy -3.00 eV/atom. Number 2: calculated volume 157 Å³/cell, calculated total energy -3.11 eV/atom. Number 3: calculated volume 457 Å³/cell, calculated total energy -2.83 eV/atom. Number 4: calculated volume 487 Å³/cell, calculated total energy -3.03 eV/atom. Number 5: calculated volume 1351 Å³/cell, calculated total energy -3.22 eV/atom. Number 6: calculated volume 840 Å³/cell, calculated total energy -3.02 eV/atom. Number 7: calculated volume 228 Å³/cell, calculated total energy -3.09 eV/atom. Number 8: calculated volume 159 Å³/cell, calculated total energy -3.10 eV/atom. Number 9: calculated volume 991 Å³/cell, calculated total energy -2.95 eV/atom. Number 10: calculated volume 588 Å³/cell, calculated total energy -3.32 eV/atom.